Below is a geometry-optimized Cs2NdInCl6 structure, with properties calculated at the PBE-GGA level.

a = 7.9911 Å, b = 8.3322 Å, c = 11.4547 Å
α = 90.00°, β = 89.60°, γ = 90.00°
Last column: nearest neighbours and their distance in Å.
Fractional coordinates of all 20 atoms:
Cl 0.3171 0.7269 0.4529  1 Nd 2.76
Cs 0.0177 0.9407 0.2506  6 Cl 3.53-3.81
Cl 0.7782 0.8137 0.5415  1 Nd 2.76
Cl 0.4138 0.9734 0.7321  1 Nd 2.75
Nd 0.0000 0.5000 0.0000  6 Cl 2.75-2.76
Cl 0.5862 0.0266 0.2679  1 Nd 2.75
Cs 0.4823 0.4407 0.2494  6 Cl 3.53-3.81
Cl 0.6829 0.2731 0.5471  1 Nd 2.76
Cl 0.2782 0.6863 0.0415  1 Nd 2.76
In 0.0000 0.5000 0.5000  6 Cl 3.16-3.20
Cl 0.9138 0.5266 0.2321  1 Nd 2.75
Cs 0.9823 0.0593 0.7494  6 Cl 3.53-3.81
In 0.5000 0.0000 0.0000  6 Cl 3.16-3.20
Cl 0.0862 0.4734 0.7679  1 Nd 2.75
Cl 0.7218 0.3137 0.9585  1 Nd 2.76
Nd 0.5000 0.0000 0.5000  6 Cl 2.75-2.76
Cl 0.8171 0.7731 0.9529  1 Nd 2.76
Cl 0.2218 0.1863 0.4585  1 Nd 2.76
Cs 0.5177 0.5593 0.7506  6 Cl 3.53-3.81
Cl 0.1829 0.2269 0.0471  1 Nd 2.76

Formation energy (no corrections) ... -1.92 eV/atom
Crystal system ... monoclinic
Volume ... 38.13 Å³ per atom
Symmetry ... P2_1/c (14)